# 1
# SiAgW2

An optimized crystal structure of SiAgW2 (GGA-PBEsol, Alexandria via LeMat-Bulk).

The structure in CIF format:
```
data_SiAgW2
_cell_length_a 3.2912
_cell_length_b 4.2411
_cell_length_c 4.3314
_cell_angle_alpha 90.00
_cell_angle_beta 90.00
_cell_angle_gamma 90.00
_space_group_name_H-M_alt 'P m m m'
_space_group_IT_number 47
loop_
_space_group_symop_operation_xyz
'x,y,z'
'-x,-y,-z'
'-x,-y,z'
'x,y,-z'
'x,-y,-z'
'-x,y,z'
'-x,y,-z'
'x,-y,z'
loop_
_atom_site_label
_atom_site_type_symbol
_atom_site_fract_x
_atom_site_fract_y
_atom_site_fract_z
Si1 Si 0.0000 0.0000 0.0000
Ag1 Ag 0.5000 0.5000 0.0000
W1 W 0.0000 0.5000 0.5000
W2 W 0.5000 0.0000 0.5000
```

Summary:
* uncorrected formation energy: 464 meV per atom
* total magnetization: 0.000 μB/atom



# 2
# SiAg4W

An optimized crystal structure of SiAg4W (GGA-PBEsol, Alexandria via LeMat-Bulk).

The structure in CIF format:
```
data_SiAg4W
_cell_length_a 7.4524
_cell_length_b 7.4524
_cell_length_c 7.4524
_cell_angle_alpha 90.00
_cell_angle_beta 90.00
_cell_angle_gamma 90.00
_space_group_name_H-M_alt 'F -4 3 m'
_space_group_IT_number 216
_space_group_name_Hall 'F -4 2 3'
loop_
_atom_site_label
_atom_site_type_symbol
_atom_site_fract_x
_atom_site_fract_y
_atom_site_fract_z
Si1 Si 0.0000 0.0000 0.0000
Ag1 Ag 0.1248 0.1248 0.6248
W1 W 0.2500 0.2500 0.2500
```

Summary:
* uncorrected formation energy: 920 meV per atom
* total magnetization: 0.461 μB/atom



# 3
# SiAgW2

An optimized crystal structure of SiAgW2 (GGA-PBEsol, Alexandria via LeMat-Bulk).

The structure in CIF format:
```
data_SiAgW2
_cell_length_a 3.2574
_cell_length_b 4.3369
_cell_length_c 8.5554
_cell_angle_alpha 90.00
_cell_angle_beta 90.00
_cell_angle_gamma 90.00
_space_group_name_H-M_alt 'C m m m'
_space_group_IT_number 65
_space_group_name_Hall '-C 2 2'
loop_
_atom_site_label
_atom_site_type_symbol
_atom_site_fract_x
_atom_site_fract_y
_atom_site_fract_z
Si1 Si 0.0000 0.0000 0.0000
Ag1 Ag 0.0000 0.0000 0.5000
W1 W 0.0000 0.5000 0.2280
```

Summary:
* uncorrected formation energy: 354 meV per atom
* total magnetization: 0.000 μB/atom



# 4
# SiAgW2

An optimized crystal structure of SiAgW2 (GGA-PBEsol, Alexandria via LeMat-Bulk).

The structure in CIF format:
```
data_SiAgW2
_cell_length_a 3.2508
_cell_length_b 4.3857
_cell_length_c 8.3451
_cell_angle_alpha 90.00
_cell_angle_beta 90.00
_cell_angle_gamma 90.00
_space_group_name_H-M_alt 'I m m 2'
_space_group_IT_number 44
loop_
_space_group_symop_operation_xyz
'x,y,z'
'-x,-y,z'
'-x,y,z'
'x,-y,z'
'x+1/2,y+1/2,z+1/2'
'-x+1/2,-y+1/2,z+1/2'
'-x+1/2,y+1/2,z+1/2'
'x+1/2,-y+1/2,z+1/2'
loop_
_atom_site_label
_atom_site_type_symbol
_atom_site_fract_x
_atom_site_fract_y
_atom_site_fract_z
Si1 Si 0.0000 0.0000 0.0000
Ag1 Ag 0.0000 0.5000 0.2695
W1 W 0.0000 0.0000 0.4957
W2 W 0.0000 0.5000 0.7359
```

Summary:
* uncorrected formation energy: 357 meV per atom
* total magnetization: 0.000 μB/atom



# 5
# SiAg2W

An optimized crystal structure of SiAg2W (GGA-PBEsol, Alexandria via LeMat-Bulk).

The structure in CIF format:
```
data_SiAg2W
_cell_length_a 2.7654
_cell_length_b 4.9238
_cell_length_c 9.2423
_cell_angle_alpha 90.00
_cell_angle_beta 90.00
_cell_angle_gamma 90.00
_space_group_name_H-M_alt 'I m m 2'
_space_group_IT_number 44
loop_
_space_group_symop_operation_xyz
'x,y,z'
'-x,-y,z'
'-x,y,z'
'x,-y,z'
'x+1/2,y+1/2,z+1/2'
'-x+1/2,-y+1/2,z+1/2'
'-x+1/2,y+1/2,z+1/2'
'x+1/2,-y+1/2,z+1/2'
loop_
_atom_site_label
_atom_site_type_symbol
_atom_site_fract_x
_atom_site_fract_y
_atom_site_fract_z
Si1 Si 0.0000 0.0000 0.0000
Ag1 Ag 0.0000 0.0000 0.5023
Ag2 Ag 0.0000 0.5000 0.2669
W1 W 0.0000 0.5000 0.7265
```

Summary:
* uncorrected formation energy: 533 meV per atom
* total magnetization: 0.000 μB/atom



# 6
# Y2SiAgW

An optimized crystal structure of Y2SiAgW (GGA-PBEsol, Alexandria via LeMat-Bulk).

The structure in CIF format:
```
data_Y2SiAgW
_cell_length_a 5.2577
_cell_length_b 5.2577
_cell_length_c 4.7045
_cell_angle_alpha 90.00
_cell_angle_beta 90.00
_cell_angle_gamma 90.00
_space_group_name_H-M_alt 'P 4/m m m'
_space_group_IT_number 123
_space_group_name_Hall '-P 4 2'
loop_
_atom_site_label
_atom_site_type_symbol
_atom_site_fract_x
_atom_site_fract_y
_atom_site_fract_z
Y1 Y 0.0000 0.5000 0.0000
Si1 Si 0.0000 0.0000 0.5000
Ag1 Ag 0.5000 0.5000 0.5000
W1 W 0.0000 0.0000 0.0000
```

Summary:
* uncorrected formation energy: 543 meV per atom
* total magnetization: 0.000 μB/atom



# 7
# YSiAg

An optimized crystal structure of YSiAg (GGA-PBEsol, Alexandria via LeMat-Bulk).

The structure in CIF format:
```
data_YSiAg
_cell_length_a 6.9400
_cell_length_b 6.9400
_cell_length_c 4.1530
_cell_angle_alpha 90.00
_cell_angle_beta 90.00
_cell_angle_gamma 120.00
_space_group_name_H-M_alt 'P -6 2 m'
_space_group_IT_number 189
_space_group_name_Hall 'P -6 -2'
loop_
_atom_site_label
_atom_site_type_symbol
_atom_site_fract_x
_atom_site_fract_y
_atom_site_fract_z
Y1 Y 0.0000 0.4190 0.0000
Si1 Si 0.0000 0.0000 0.0000
Si2 Si 0.3333 0.6667 0.5000
Ag1 Ag 0.0000 0.7513 0.5000
```

Summary:
* uncorrected formation energy: -680 meV per atom
* total magnetization: 0.000 μB/atom



# 8
# YSiAg

An optimized crystal structure of YSiAg (GGA-PBEsol, Alexandria via LeMat-Bulk).

The structure in CIF format:
```
data_YSiAg
_cell_length_a 7.0223
_cell_length_b 4.1625
_cell_length_c 7.9304
_cell_angle_alpha 90.00
_cell_angle_beta 90.00
_cell_angle_gamma 90.00
_space_group_name_H-M_alt 'P n m a'
_space_group_IT_number 62
loop_
_space_group_symop_operation_xyz
'x,y,z'
'-x,-y,-z'
'-x+1/2,-y,z+1/2'
'x+1/2,y,-z+1/2'
'x+1/2,-y+1/2,-z+1/2'
'-x+1/2,y+1/2,z+1/2'
'-x,y+1/2,-z'
'x,-y+1/2,z'
loop_
_atom_site_label
_atom_site_type_symbol
_atom_site_fract_x
_atom_site_fract_y
_atom_site_fract_z
Y1 Y 0.0215 0.2500 0.1853
Si1 Si 0.2399 0.7500 0.3796
Ag1 Ag 0.1473 0.2500 0.5603
```

Summary:
* uncorrected formation energy: -664 meV per atom
* total magnetization: 0.000 μB/atom